(1)
VASP calculation (PBE-GGA) on crystalline LiAsAu2 at its relaxed geometry.

a b c (Å): 3.9951 4.0219 8.5811
angles (deg): 90.00 90.00 90.00
Atoms (fractional coordinates):
Li (0.0000, 0.0000, 0.0000)
Li (0.5000, 0.5000, 0.0000)
As (0.0000, 0.0000, 0.5000)
As (0.5000, 0.5000, 0.5000)
Au (0.0000, 0.5000, 0.2230)
Au (0.0000, 0.5000, 0.7770)
Au (0.5000, 0.0000, 0.2230)
Au (0.5000, 0.0000, 0.7770)

Values from the calculation:
symmetry = Cmmm (65)
calculated volume = 17.235 A^3/atom
ΔH_f (0 K) = -158 meV per atom



(2)
VASP calculation (PBE-GGA) on crystalline Li5AsAu8 at its relaxed geometry.

a b c (Å): 6.7733 6.7733 6.7733
angles (deg): 110.37 110.37 107.70
Atoms (fractional coordinates):
Li (0.0000, 0.0000, 0.0000)
Li (0.2922, 0.1934, 0.6548)
Li (0.3626, 0.7078, 0.9012)
Li (0.5386, 0.6374, 0.3452)
Li (0.8066, 0.4614, 0.0988)
As (0.7500, 0.2500, 0.5000)
Au (0.0197, 0.7660, 0.5978)
Au (0.0859, 0.3419, 0.9192)
Au (0.1682, 0.4219, 0.4022)
Au (0.2340, 0.8318, 0.2537)
Au (0.4226, 0.1667, 0.0808)
Au (0.5781, 0.9803, 0.7463)
Au (0.6581, 0.5774, 0.7441)
Au (0.8333, 0.9141, 0.2559)

Values from the calculation:
symmetry = I-4 (82)
calculated volume = 17.074 A^3/atom
ΔH_f (0 K) = -304 meV per atom



Q: Which formula does entry 1 have?
A: LiAsAu2



Q: The lowest ΔH_f (0 K) belongs to which entry?
A: Li5AsAu8



Q: Number 1 is which compound?
A: LiAsAu2



Q: calculated volume of number 1 (LiAsAu2)?
A: 17.235 A^3/atom